1.
# PBE Er4GeAuSe2, relaxed
# Calculated total energy (eV per atom): -5.401
# Mass density (Mg/m³): 9.34
# Formation energy without anion corrections (eV per atom): -1.2612
# Magnetic moment (μB per cell): 0.001
data_Er4GeAuSe2
_chemical_formula_sum 'Er8 Ge2 Au2 Se4'
_symmetry_space_group_name_H-M 'I -4 m 2'
_symmetry_Int_Tables_number 119
_symmetry_space_group_name_Hall 'I -4 -2'
_cell_length_a 5.8041
_cell_length_b 5.8041
_cell_length_c 11.5730
_cell_angle_alpha 90.00
_cell_angle_beta 90.00
_cell_angle_gamma 90.00
loop_
_atom_site_label
_atom_site_fract_x
_atom_site_fract_y
_atom_site_fract_z
Er1 0.0000 0.0000 0.2466
Er2 0.0000 0.5000 0.0028
Ge1 0.0000 0.5000 0.2500
Au1 0.0000 0.0000 0.5000
Se1 0.0000 0.0000 0.0000
Se2 0.0000 0.5000 0.7500

***

2.
# PBE SmErGeAu, relaxed
# Calculated total energy (eV per atom): -5.126
# Distance to the lowest polymorph of the same formula (eV/f.u.): 0.00
# Mass density (Mg/m³): 10.00
# Formation enthalpy at 0 K (meV/atom): -832
# Magnetic moment (μB per cell): 0.000
data_SmErGeAu
_chemical_formula_sum 'Sm2 Er2 Ge2 Au2'
_symmetry_space_group_name_H-M 'A m m 2'
_symmetry_Int_Tables_number 38
_symmetry_space_group_name_Hall 'A 2 -2'
_cell_length_a 4.3430
_cell_length_b 4.0731
_cell_length_c 11.0299
_cell_angle_alpha 90.00
_cell_angle_beta 90.00
_cell_angle_gamma 90.00
loop_
_atom_site_label
_atom_site_fract_x
_atom_site_fract_y
_atom_site_fract_z
Sm1 0.0000 0.0000 0.0000
Er1 0.5000 0.0000 0.7218
Ge1 0.0000 0.0000 0.2712
Au1 0.5000 0.0000 0.4403

***

3.
# PBE SmErGeAu, relaxed
# Calculated total energy (eV per atom): -5.027
# Distance to the lowest polymorph of the same formula (eV/f.u.): 0.39
# Mass density (Mg/m³): 10.32
# Formation enthalpy at 0 K (meV/atom): -733
# Magnetic moment (μB per cell): 2.200
data_SmErGeAu
_chemical_formula_sum 'Sm4 Er4 Ge4 Au4'
_symmetry_space_group_name_H-M 'F -4 3 m'
_symmetry_Int_Tables_number 216
_symmetry_space_group_name_Hall 'F -4 2 3'
_cell_length_a 7.2294
_cell_length_b 7.2294
_cell_length_c 7.2294
_cell_angle_alpha 90.00
_cell_angle_beta 90.00
_cell_angle_gamma 90.00
loop_
_atom_site_label
_atom_site_fract_x
_atom_site_fract_y
_atom_site_fract_z
Sm1 0.0000 0.0000 0.0000
Er1 0.0000 0.0000 0.5000
Ge1 0.2500 0.2500 0.7500
Au1 0.2500 0.2500 0.2500